1.
DFT (PBE) results for a geometry-optimized NpCo2GeC structure.

Lattice parameters (Å, degrees): 5.714 5.714 6.776 90.00 90.00 141.94
Fractional coordinates of all 10 atoms:
Np 0.046 0.954 0.750
Np 0.954 0.046 0.250
Co 0.337 0.663 0.556
Co 0.337 0.663 0.944
Co 0.663 0.337 0.056
Co 0.663 0.337 0.444
Ge 0.230 0.770 0.250
Ge 0.770 0.230 0.750
C 0.500 0.500 0.000
C 0.500 0.500 0.500

Results
* VASP energy: -0.618 Ry per atom
* magnetic moment: 7.7 μB/cell

=====

2.
DFT (PBE) results for a geometry-optimized PaCo2GeC structure.

Lattice parameters (Å, degrees): 5.786 5.786 6.795 90.00 90.00 142.61
Fractional coordinates of all 10 atoms:
Pa 0.052 0.948 0.750
Pa 0.948 0.052 0.250
Co 0.337 0.663 0.549
Co 0.337 0.663 0.951
Co 0.663 0.337 0.049
Co 0.663 0.337 0.451
Ge 0.223 0.777 0.250
Ge 0.777 0.223 0.750
C 0.500 0.500 0.000
C 0.500 0.500 0.500

Results
* VASP energy: -0.582 Ry per atom
* magnetic moment: 0.0 μB/cell

=====

3.
DFT (PBE) results for a geometry-optimized PmCo3GeC structure.

Lattice parameters (Å, degrees): 6.272 6.272 5.600 90.00 90.00 129.50
Fractional coordinates of all 12 atoms:
Pm 0.242 0.758 0.750
Pm 0.758 0.242 0.250
Co 0.269 0.269 0.000
Co 0.269 0.269 0.500
Co 0.326 0.674 0.250
Co 0.674 0.326 0.750
Co 0.731 0.731 0.000
Co 0.731 0.731 0.500
Ge 0.121 0.879 0.250
Ge 0.879 0.121 0.750
C 0.486 0.514 0.250
C 0.514 0.486 0.750

Results
* VASP energy: -0.507 Ry per atom
* magnetic moment: 0.0 μB/cell

=====

4.
DFT (PBE) results for a geometry-optimized PuCo2GeC structure.

Lattice parameters (Å, degrees): 5.685 5.685 6.827 90.00 90.00 141.33
Fractional coordinates of all 10 atoms:
Pu 0.047 0.953 0.750
Pu 0.953 0.047 0.250
Co 0.338 0.662 0.557
Co 0.338 0.662 0.943
Co 0.662 0.338 0.057
Co 0.662 0.338 0.443
Ge 0.230 0.770 0.250
Ge 0.770 0.230 0.750
C 0.500 0.500 0.000
C 0.500 0.500 0.500

Results
* VASP energy: -0.645 Ry per atom
* magnetic moment: 10.4 μB/cell

=====

5.
DFT (PBE) results for a geometry-optimized RbCo2GeC structure.

Lattice parameters (Å, degrees): 4.690 4.690 4.281 90.00 90.00 90.00
Fractional coordinates of all 5 atoms:
Rb 0.000 0.000 0.000
Co 0.000 0.500 0.500
Co 0.500 0.000 0.500
Ge 0.500 0.500 0.500
C 0.500 0.500 0.000

Results
* VASP energy: -0.312 Ry per atom
* magnetic moment: 3.3 μB/cell

=====

6.
DFT (PBE) results for a geometry-optimized SmCo2GeC structure.

Lattice parameters (Å, degrees): 5.678 5.678 6.902 90.00 90.00 140.37
Fractional coordinates of all 10 atoms:
Sm 0.053 0.947 0.750
Sm 0.947 0.053 0.250
Co 0.340 0.660 0.557
Co 0.340 0.660 0.943
Co 0.660 0.340 0.057
Co 0.660 0.340 0.443
Ge 0.227 0.773 0.250
Ge 0.773 0.227 0.750
C 0.500 0.500 0.000
C 0.500 0.500 0.500

Results
* VASP energy: -0.515 Ry per atom
* magnetic moment: 0.0 μB/cell

=====

7.
DFT (PBE) results for a geometry-optimized SrCoGe2C structure.

Lattice parameters (Å, degrees): 4.350 4.350 5.982 90.00 90.00 90.00
Fractional coordinates of all 5 atoms:
Sr 0.000 0.000 0.000
Co 0.000 0.000 0.500
Ge 0.000 0.500 0.500
Ge 0.500 0.000 0.500
C 0.500 0.500 0.000

Results
* VASP energy: -0.338 Ry per atom
* magnetic moment: 2.1 μB/cell

=====

8.
DFT (PBE) results for a geometry-optimized Co2TcGeC structure.

Lattice parameters (Å, degrees): 3.768 3.768 4.060 90.00 90.00 90.00
Fractional coordinates of all 5 atoms:
Co 0.000 0.500 0.000
Co 0.500 0.000 0.000
Tc 0.000 0.000 0.500
Ge 0.500 0.500 0.500
C 0.000 0.000 0.000

Results
* VASP energy: -0.562 Ry per atom
* magnetic moment: 1.0 μB/cell